[1]
{"formula": "PuAs2Ru", "functional": "PBE-GGA", "state": "relaxed", "sg": "R-3m (166)", "vol_a3_per_atom": 19.04, "total_magnetization_mub_per_atom": 1.104, "e_above_lowest_polymorph_mev_per_atom": 37.1, "dos_ef_per_ev_atom": 2.6783, "formation_energy_ev_per_atom": -0.62, "lattice_angstrom": [[4.0360, 0.0000, 0.0000], [-2.0180, 3.4953, 0.0000], [0.0000, 0.0000, 16.2001]], "species": ["Pu", "Pu", "Pu", "As", "As", "As", "As", "As", "As", "Ru", "Ru", "Ru"], "frac_coords": [[0.0000, 0.0000, 0.0000], [0.3333, 0.6667, 0.6667], [0.6667, 0.3333, 0.3333], [0.0000, 0.0000, 0.2316], [0.0000, 0.0000, 0.7684], [0.3333, 0.6667, 0.4351], [0.3333, 0.6667, 0.8983], [0.6667, 0.3333, 0.1017], [0.6667, 0.3333, 0.5649], [0.0000, 0.0000, 0.5000], [0.3333, 0.6667, 0.1667], [0.6667, 0.3333, 0.8333]]}

---

[2]
{"formula": "SrRuO2F", "functional": "PBE-GGA", "state": "relaxed", "sg": "P4/mmm (123)", "vol_a3_per_atom": 13.91, "total_magnetization_mub_per_atom": 0.447, "dos_ef_per_ev_atom": 0.2511, "e_tot_ev_per_cell": -31.70, "lattice_angstrom": [[4.0030, 0.0000, 0.0000], [0.0000, 4.0030, 0.0000], [0.0000, 0.0000, 4.3414]], "species": ["Sr", "Ru", "O", "O", "F"], "frac_coords": [[0.0000, 0.0000, 0.0000], [0.5000, 0.5000, 0.5000], [0.0000, 0.5000, 0.5000], [0.5000, 0.0000, 0.5000], [0.5000, 0.5000, 0.0000]]}

---

[3]
{"formula": "LiHg2Au", "functional": "PBE-GGA", "state": "relaxed", "sg": "Immm (71)", "vol_a3_per_atom": 24.38, "total_magnetization_mub_per_atom": 0.000, "dos_ef_per_ev_atom": 0.3038, "formation_energy_ev_per_atom": -0.11, "lattice_angstrom": [[3.5367, 0.0000, 0.0000], [0.0000, 3.8578, 0.0000], [0.0000, 0.0000, 14.2924]], "species": ["Li", "Li", "Hg", "Hg", "Hg", "Hg", "Au", "Au"], "frac_coords": [[0.0000, 0.0000, 0.0000], [0.5000, 0.5000, 0.5000], [0.0000, 0.0000, 0.3077], [0.0000, 0.0000, 0.6923], [0.5000, 0.5000, 0.1923], [0.5000, 0.5000, 0.8077], [0.0000, 0.0000, 0.5000], [0.5000, 0.5000, 0.0000]]}

---

[4]
{"formula": "Ti7WAu2", "functional": "PBE-GGA", "state": "relaxed", "sg": "Fm-3m (225)", "vol_a3_per_atom": 20.24, "total_magnetization_mub_per_atom": 0.301, "dos_ef_per_ev_atom": 1.8359, "formation_energy_ev_per_atom": 0.82, "lattice_angstrom": [[0.0000, 4.6601, 4.6601], [4.6601, 0.0000, 4.6601], [4.6601, 4.6601, 0.0000]], "species": ["Ti", "Ti", "Ti", "Ti", "Ti", "Ti", "Ti", "W", "Au", "Au"], "frac_coords": [[0.0000, 0.0000, 0.0000], [0.2458, 0.2458, 0.7542], [0.2458, 0.7542, 0.2458], [0.2458, 0.7542, 0.7542], [0.7542, 0.2458, 0.2458], [0.7542, 0.2458, 0.7542], [0.7542, 0.7542, 0.2458], [0.5000, 0.5000, 0.5000], [0.2500, 0.2500, 0.2500], [0.7500, 0.7500, 0.7500]]}

---

[5]
{"formula": "La5Cd2Bi", "functional": "PBE-GGA", "state": "relaxed", "sg": "I4/mcm (140)", "vol_a3_per_atom": 32.98, "total_magnetization_mub_per_atom": 0.000, "dos_ef_per_ev_atom": 1.1778, "formation_energy_ev_per_atom": -0.40, "lattice_angstrom": [[-4.4531, 4.4531, 6.6515], [4.4531, -4.4531, 6.6515], [4.4531, 4.4531, -6.6515]], "species": ["La", "La", "La", "La", "La", "La", "La", "La", "La", "La", "Cd", "Cd", "Cd", "Cd", "Bi", "Bi"], "frac_coords": [[0.0000, 0.0000, 0.0000], [0.0075, 0.5075, 0.8208], [0.1867, 0.0075, 0.5000], [0.3133, 0.8133, 0.8208], [0.4925, 0.3133, 0.5000], [0.5000, 0.5000, 0.0000], [0.5075, 0.6867, 0.5000], [0.6867, 0.1867, 0.1792], [0.8133, 0.9925, 0.5000], [0.9925, 0.4925, 0.1792], [0.1329, 0.3671, 0.5000], [0.3671, 0.8671, 0.2341], [0.6329, 0.1329, 0.7659], [0.8671, 0.6329, 0.5000], [0.2500, 0.2500, 0.0000], [0.7500, 0.7500, 0.0000]]}

---

[6]
{"formula": "SbRuO2F", "functional": "PBE-GGA", "state": "relaxed", "sg": "P4/mmm (123)", "vol_a3_per_atom": 15.14, "total_magnetization_mub_per_atom": 0.633, "dos_ef_per_ev_atom": 0.8693, "e_tot_ev_per_cell": -26.38, "lattice_angstrom": [[4.2072, 0.0000, 0.0000], [0.0000, 4.2072, 0.0000], [0.0000, 0.0000, 4.2773]], "species": ["Sb", "Ru", "O", "O", "F"], "frac_coords": [[0.0000, 0.0000, 0.0000], [0.5000, 0.5000, 0.5000], [0.0000, 0.5000, 0.0000], [0.5000, 0.0000, 0.0000], [0.0000, 0.0000, 0.5000]]}

---

Please write out number 4 again, unchanged.
{"formula": "Ti7WAu2", "functional": "PBE-GGA", "state": "relaxed", "sg": "Fm-3m (225)", "vol_a3_per_atom": 20.24, "total_magnetization_mub_per_atom": 0.301, "dos_ef_per_ev_atom": 1.8359, "formation_energy_ev_per_atom": 0.82, "lattice_angstrom": [[0.0000, 4.6601, 4.6601], [4.6601, 0.0000, 4.6601], [4.6601, 4.6601, 0.0000]], "species": ["Ti", "Ti", "Ti", "Ti", "Ti", "Ti", "Ti", "W", "Au", "Au"], "frac_coords": [[0.0000, 0.0000, 0.0000], [0.2458, 0.2458, 0.7542], [0.2458, 0.7542, 0.2458], [0.2458, 0.7542, 0.7542], [0.7542, 0.2458, 0.2458], [0.7542, 0.2458, 0.7542], [0.7542, 0.7542, 0.2458], [0.5000, 0.5000, 0.5000], [0.2500, 0.2500, 0.2500], [0.7500, 0.7500, 0.7500]]}

---

Please write out number 5 again, unchanged.
{"formula": "La5Cd2Bi", "functional": "PBE-GGA", "state": "relaxed", "sg": "I4/mcm (140)", "vol_a3_per_atom": 32.98, "total_magnetization_mub_per_atom": 0.000, "dos_ef_per_ev_atom": 1.1778, "formation_energy_ev_per_atom": -0.40, "lattice_angstrom": [[-4.4531, 4.4531, 6.6515], [4.4531, -4.4531, 6.6515], [4.4531, 4.4531, -6.6515]], "species": ["La", "La", "La", "La", "La", "La", "La", "La", "La", "La", "Cd", "Cd", "Cd", "Cd", "Bi", "Bi"], "frac_coords": [[0.0000, 0.0000, 0.0000], [0.0075, 0.5075, 0.8208], [0.1867, 0.0075, 0.5000], [0.3133, 0.8133, 0.8208], [0.4925, 0.3133, 0.5000], [0.5000, 0.5000, 0.0000], [0.5075, 0.6867, 0.5000], [0.6867, 0.1867, 0.1792], [0.8133, 0.9925, 0.5000], [0.9925, 0.4925, 0.1792], [0.1329, 0.3671, 0.5000], [0.3671, 0.8671, 0.2341], [0.6329, 0.1329, 0.7659], [0.8671, 0.6329, 0.5000], [0.2500, 0.2500, 0.0000], [0.7500, 0.7500, 0.0000]]}

---

What did the third record say?
{"formula": "LiHg2Au", "functional": "PBE-GGA", "state": "relaxed", "sg": "Immm (71)", "vol_a3_per_atom": 24.38, "total_magnetization_mub_per_atom": 0.000, "dos_ef_per_ev_atom": 0.3038, "formation_energy_ev_per_atom": -0.11, "lattice_angstrom": [[3.5367, 0.0000, 0.0000], [0.0000, 3.8578, 0.0000], [0.0000, 0.0000, 14.2924]], "species": ["Li", "Li", "Hg", "Hg", "Hg", "Hg", "Au", "Au"], "frac_coords": [[0.0000, 0.0000, 0.0000], [0.5000, 0.5000, 0.5000], [0.0000, 0.0000, 0.3077], [0.0000, 0.0000, 0.6923], [0.5000, 0.5000, 0.1923], [0.5000, 0.5000, 0.8077], [0.0000, 0.0000, 0.5000], [0.5000, 0.5000, 0.0000]]}